# 1
This record from the Alexandria database describes a relaxed HfF crystal. The functional is GGA-PBE.

The structure belongs to space group Fddd (No. 70, origin choice 2); the cell edges are 6.974, 7.531 and 9.425 Å and the angles 90.00°, 90.00° and 90.00°. The distinct sites, in fractional coordinates, are Hf at (0.125, 0.322, 0.125) and F at (0.125, 0.125, 0.502).

As for the total magnetization: 0.0 μB per formula unit. As for the distance to the lowest polymorph of the same formula: 0.291 eV/f.u. The uncorrected formation energy comes out at -1991 meV per atom. As for the total energy: -252.9 eV per cell.

=====

# 2
This record from the Alexandria database describes a relaxed ZrFe2RhC crystal. The functional is GGA-PBE.

The structure belongs to space group P4/mmm (No. 123); the cell edges are 3.894, 3.894 and 4.083 Å and the angles 90.00°, 90.00° and 90.00°. The distinct sites, in fractional coordinates, are Zr at (0.000, 0.000, 0.000), Fe at (0.000, 0.500, 0.500), Rh at (0.500, 0.500, 0.000) and C at (0.500, 0.500, 0.500).

As for the total magnetization: 1.1 μB per formula unit. As for the total energy: -43.2 eV per cell. As for the energy of formation from the pure elements: -222.2 meV per atom.

=====

# 3
This record from the Alexandria database describes a relaxed Cs4ErAg3Br12 crystal. The functional is GGA-PBE.

The structure belongs to space group Im-3m (No. 229); the cell edges are 11.175, 11.175 and 11.175 Å and the angles 90.00°, 90.00° and 90.00°. The distinct sites, in fractional coordinates, are Cs at (0.250, 0.250, 0.250), Er at (0.000, 0.000, 0.000), Ag at (0.000, 0.000, 0.500), Br at (0.000, 0.000, 0.246) and Br at (0.000, 0.250, 0.500).

As for the total magnetization: 0.0 μB per formula unit. The uncorrected formation energy comes out at -1222 meV per atom. As for the total energy: -122.1 eV per cell.

=====

# 4
This record from the Alexandria database describes a relaxed CoNiCl2 crystal. The functional is GGA-PBE.

The structure belongs to space group Cmm2 (No. 35); the cell edges are 4.236, 5.263 and 6.837 Å and the angles 90.00°, 90.00° and 90.00°. The distinct sites, in fractional coordinates, are Co at (0.000, 0.000, 0.000), Ni at (0.000, 0.500, 0.844), Cl at (0.000, 0.000, 0.665) and Cl at (0.000, 0.500, 0.174).

As for the total magnetization: 3.0 μB per formula unit. As for the distance to the lowest polymorph of the same formula: 0.667 eV/f.u. The uncorrected formation energy comes out at 14 meV per atom. As for the total energy: -33.0 eV per cell.

=====

Look up the total magnetization of the fourth one. 3.0 μB per formula unit

=====

Which of these has the highest total magnetization? CoNiCl2